1.
# Li2Bi3Pd4 PBE relaxed
# **DOS at the Fermi energy**: 0.371 states/eV per atom
# **Energy relative to the elements**: -0.364 eV/atom
# **Polymorph energy (0 for the lowest one)**: 0.00 kJ/mol of atoms
# **Spin magnetization**: 0.00 μB/cell
# **Space-group type**: C2/c
data_Li2Bi3Pd4
_cell_length_a 5.060
_cell_length_b 8.451
_cell_length_c 8.451
_cell_angle_alpha 74.69
_cell_angle_beta 98.32
_cell_angle_gamma 98.32
_symmetry_space_group_name_H-M 'P 1'
_symmetry_Int_Tables_number 1
loop_
_symmetry_equiv_pos_as_xyz
'x,y,z'
loop_
_atom_site_label
_atom_site_fract_x
_atom_site_fract_y
_atom_site_fract_z
Li1 0.622 0.160 0.401
Li2 0.878 0.599 0.841
Li3 0.378 0.840 0.599
Li4 0.122 0.401 0.159
Bi1 0.065 0.031 0.287
Bi2 0.435 0.713 0.969
Bi3 0.935 0.969 0.713
Bi4 0.565 0.287 0.031
Bi5 0.250 0.624 0.376
Bi6 0.750 0.376 0.624
Pd1 0.526 0.935 0.196
Pd2 0.974 0.804 0.065
Pd3 0.474 0.065 0.804
Pd4 0.026 0.196 0.935
Pd5 0.187 0.268 0.492
Pd6 0.313 0.508 0.732
Pd7 0.813 0.732 0.508
Pd8 0.687 0.492 0.268


2.
# Li3BiPd5 PBE relaxed
# **DOS at the Fermi energy**: 0.248 states/eV per atom
# **Energy relative to the elements**: -0.228 eV/atom
# **Spin magnetization**: 0.00 μB/cell
# **Space-group type**: I4/mcm
data_Li3BiPd5
_cell_length_a 6.860
_cell_length_b 6.860
_cell_length_c 7.792
_cell_angle_alpha 116.12
_cell_angle_beta 116.12
_cell_angle_gamma 90.00
_symmetry_space_group_name_H-M 'P 1'
_symmetry_Int_Tables_number 1
loop_
_symmetry_equiv_pos_as_xyz
'x,y,z'
loop_
_atom_site_label
_atom_site_fract_x
_atom_site_fract_y
_atom_site_fract_z
Li1 0.603 0.103 0.000
Li2 0.397 0.897 0.000
Li3 0.897 0.603 0.000
Li4 0.103 0.397 0.000
Li5 0.250 0.250 0.500
Li6 0.750 0.750 0.500
Bi1 0.750 0.250 0.500
Bi2 0.250 0.750 0.500
Pd1 0.095 0.595 0.750
Pd2 0.655 0.155 0.750
Pd3 0.155 0.095 0.750
Pd4 0.595 0.655 0.750
Pd5 0.905 0.405 0.250
Pd6 0.345 0.845 0.250
Pd7 0.845 0.905 0.250
Pd8 0.405 0.345 0.250
Pd9 0.500 0.500 0.000
Pd10 0.000 0.000 0.000


3.
# LiBi4Pd15 PBE relaxed
# **DOS at the Fermi energy**: 0.562 states/eV per atom
# **Energy relative to the elements**: -0.253 eV/atom
# **Spin magnetization**: 0.00 μB/cell
# **Space-group type**: P4/mmm
data_LiBi4Pd15
_cell_length_a 4.119
_cell_length_b 4.119
_cell_length_c 20.157
_cell_angle_alpha 90.00
_cell_angle_beta 90.00
_cell_angle_gamma 90.00
_symmetry_space_group_name_H-M 'P 1'
_symmetry_Int_Tables_number 1
loop_
_symmetry_equiv_pos_as_xyz
'x,y,z'
loop_
_atom_site_label
_atom_site_fract_x
_atom_site_fract_y
_atom_site_fract_z
Li1 0.000 0.000 0.000
Bi1 0.000 0.000 0.185
Bi2 0.000 0.000 0.396
Bi3 0.000 0.000 0.604
Bi4 0.000 0.000 0.815
Pd1 0.500 0.500 0.000
Pd2 0.500 0.500 0.197
Pd3 0.500 0.500 0.399
Pd4 0.500 0.500 0.601
Pd5 0.500 0.500 0.803
Pd6 0.500 0.000 0.090
Pd7 0.500 0.000 0.295
Pd8 0.500 0.000 0.500
Pd9 0.500 0.000 0.705
Pd10 0.500 0.000 0.910
Pd11 0.000 0.500 0.090
Pd12 0.000 0.500 0.295
Pd13 0.000 0.500 0.500
Pd14 0.000 0.500 0.705
Pd15 0.000 0.500 0.910


4.
# Li2BiPd2 PBE relaxed
# **DOS at the Fermi energy**: 0.361 states/eV per atom
# **Energy relative to the elements**: -0.205 eV/atom
# **Polymorph energy (0 for the lowest one)**: 23.54 kJ/mol of atoms
# **Spin magnetization**: 0.00 μB/cell
# **Space-group type**: I4/mmm
data_Li2BiPd2
_cell_length_a 3.699
_cell_length_b 3.699
_cell_length_c 7.140
_cell_angle_alpha 74.99
_cell_angle_beta 74.99
_cell_angle_gamma 90.00
_symmetry_space_group_name_H-M 'P 1'
_symmetry_Int_Tables_number 1
loop_
_symmetry_equiv_pos_as_xyz
'x,y,z'
loop_
_atom_site_label
_atom_site_fract_x
_atom_site_fract_y
_atom_site_fract_z
Bi1 0.000 0.000 0.000
Pd1 0.393 0.393 0.214
Pd2 0.607 0.607 0.786
Li1 0.750 0.250 0.500
Li2 0.250 0.750 0.500


5.
# LiBi5Pd6 PBE relaxed
# **DOS at the Fermi energy**: 0.403 states/eV per atom
# **Energy relative to the elements**: -0.287 eV/atom
# **Spin magnetization**: 0.00 μB/cell
# **Space-group type**: Cmmm
data_LiBi5Pd6
_cell_length_a 4.855
_cell_length_b 6.885
_cell_length_c 7.737
_cell_angle_alpha 90.00
_cell_angle_beta 71.71
_cell_angle_gamma 90.00
_symmetry_space_group_name_H-M 'P 1'
_symmetry_Int_Tables_number 1
loop_
_symmetry_equiv_pos_as_xyz
'x,y,z'
loop_
_atom_site_label
_atom_site_fract_x
_atom_site_fract_y
_atom_site_fract_z
Bi1 0.670 0.500 0.660
Bi2 0.342 0.000 0.315
Bi3 0.000 0.500 0.000
Bi4 0.658 0.000 0.685
Bi5 0.330 0.500 0.340
Pd1 0.846 0.771 0.309
Pd2 0.846 0.229 0.309
Pd3 0.500 0.246 0.000
Pd4 0.500 0.754 0.000
Pd5 0.154 0.771 0.691
Pd6 0.154 0.229 0.691
Li1 0.000 0.000 0.000


6.
# LiBi2Pd2 PBE relaxed
# **DOS at the Fermi energy**: 0.456 states/eV per atom
# **Energy relative to the elements**: -0.380 eV/atom
# **Polymorph energy (0 for the lowest one)**: 0.00 kJ/mol of atoms
# **Spin magnetization**: 0.00 μB/cell
# **Space-group type**: Immm
data_LiBi2Pd2
_cell_length_a 4.283
_cell_length_b 5.493
_cell_length_c 5.495
_cell_angle_alpha 62.78
_cell_angle_beta 67.06
_cell_angle_gamma 67.05
_symmetry_space_group_name_H-M 'P 1'
_symmetry_Int_Tables_number 1
loop_
_symmetry_equiv_pos_as_xyz
'x,y,z'
loop_
_atom_site_label
_atom_site_fract_x
_atom_site_fract_y
_atom_site_fract_z
Li1 0.500 0.500 0.000
Bi1 0.703 0.797 0.297
Bi2 0.297 0.203 0.703
Pd1 0.000 0.243 0.257
Pd2 0.000 0.757 0.743


7.
# Li5Bi2Pd PBE relaxed
# **DOS at the Fermi energy**: 0.325 states/eV per atom
# **Energy relative to the elements**: -0.395 eV/atom
# **Spin magnetization**: 0.00 μB/cell
# **Space-group type**: P6_3/mmc
data_Li5Bi2Pd
_cell_length_a 4.678
_cell_length_b 4.678
_cell_length_c 18.394
_cell_angle_alpha 90.00
_cell_angle_beta 90.00
_cell_angle_gamma 120.00
_symmetry_space_group_name_H-M 'P 1'
_symmetry_Int_Tables_number 1
loop_
_symmetry_equiv_pos_as_xyz
'x,y,z'
loop_
_atom_site_label
_atom_site_fract_x
_atom_site_fract_y
_atom_site_fract_z
Li1 0.000 0.000 0.337
Li2 0.000 0.000 0.163
Li3 0.667 0.333 0.250
Li4 0.000 0.000 0.837
Li5 0.667 0.333 0.050
Li6 0.333 0.667 0.750
Li7 0.333 0.667 0.950
Li8 0.333 0.667 0.550
Li9 0.667 0.333 0.450
Li10 0.000 0.000 0.663
Bi1 0.667 0.333 0.606
Bi2 0.333 0.667 0.106
Bi3 0.333 0.667 0.394
Bi4 0.667 0.333 0.894
Pd1 0.333 0.667 0.250
Pd2 0.667 0.333 0.750


8.
# LiBi3Pd3 PBE relaxed
# **DOS at the Fermi energy**: 0.465 states/eV per atom
# **Energy relative to the elements**: -0.268 eV/atom
# **Spin magnetization**: 0.00 μB/cell
# **Space-group type**: R3m
data_LiBi3Pd3
_cell_length_a 5.868
_cell_length_b 5.875
_cell_length_c 5.868
_cell_angle_alpha 109.50
_cell_angle_beta 109.44
_cell_angle_gamma 109.50
_symmetry_space_group_name_H-M 'P 1'
_symmetry_Int_Tables_number 1
loop_
_symmetry_equiv_pos_as_xyz
'x,y,z'
loop_
_atom_site_label
_atom_site_fract_x
_atom_site_fract_y
_atom_site_fract_z
Li1 0.000 0.503 0.000
Bi1 0.500 0.004 0.000
Bi2 0.500 0.504 0.500
Bi3 0.000 0.004 0.500
Pd1 0.500 0.504 0.000
Pd2 0.500 0.004 0.500
Pd3 0.000 0.504 0.500


9.
# LiBi2Pd5 PBE relaxed
# **DOS at the Fermi energy**: 0.776 states/eV per atom
# **Energy relative to the elements**: -0.299 eV/atom
# **Polymorph energy (0 for the lowest one)**: 0.00 kJ/mol of atoms
# **Spin magnetization**: 0.00 μB/cell
# **Space-group type**: I4mm
data_LiBi2Pd5
_cell_length_a 5.794
_cell_length_b 5.794
_cell_length_c 5.794
_cell_angle_alpha 117.92
_cell_angle_beta 117.92
_cell_angle_gamma 93.65
_symmetry_space_group_name_H-M 'P 1'
_symmetry_Int_Tables_number 1
loop_
_symmetry_equiv_pos_as_xyz
'x,y,z'
loop_
_atom_site_label
_atom_site_fract_x
_atom_site_fract_y
_atom_site_fract_z
Li1 0.778 0.778 0.000
Bi1 0.278 0.778 0.500
Bi2 0.778 0.278 0.500
Pd1 0.278 0.278 0.500
Pd2 0.278 0.778 0.000
Pd3 0.778 0.278 0.000
Pd4 0.778 0.778 0.500
Pd5 0.278 0.278 0.000


10.
# Li3Bi2Pd8 PBE relaxed
# **DOS at the Fermi energy**: 0.412 states/eV per atom
# **Energy relative to the elements**: -0.253 eV/atom
# **Spin magnetization**: 0.00 μB/cell
# **Space-group type**: C2/m
data_Li3Bi2Pd8
_cell_length_a 4.548
_cell_length_b 9.068
_cell_length_c 7.186
_cell_angle_alpha 129.12
_cell_angle_beta 80.31
_cell_angle_gamma 90.00
_symmetry_space_group_name_H-M 'P 1'
_symmetry_Int_Tables_number 1
loop_
_symmetry_equiv_pos_as_xyz
'x,y,z'
loop_
_atom_site_label
_atom_site_fract_x
_atom_site_fract_y
_atom_site_fract_z
Li1 0.500 0.000 0.000
Li2 0.000 0.240 0.000
Li3 0.000 0.760 0.000
Bi1 0.340 0.292 0.583
Bi2 0.660 0.708 0.417
Pd1 0.217 0.570 0.140
Pd2 0.783 0.430 0.860
Pd3 0.922 0.136 0.272
Pd4 0.078 0.864 0.728
Pd5 0.559 0.639 0.741
Pd6 0.559 0.102 0.741
Pd7 0.441 0.898 0.259
Pd8 0.441 0.361 0.259


| no. | uncorrected energy (eV/atom) |
| --- | --- |
| 1 | -4.391 |
| 2 | -4.182 |
| 3 | -5.020 |
| 4 | -3.824 |
| 5 | -4.660 |
| 6 | -4.392 |
| 7 | -3.211 |
| 8 | -4.430 |
| 9 | -4.754 |
| 10 | -4.487 |